Entry from Alexandria: a relaxed structure of CuC2 (GGA-PBEsol).

Results
distance to the lowest polymorph of the same formula = 237.67 kJ per mole of atoms
ρ = 5.9 g/cm³
N(E_F) = 3.03 states/eV/cell
calculated formation energy = 2.757 eV/atom
symmetry = Fd-3m
spin magnetization = 0.00 μB per cell
crystal system = cubic

Cell lengths 4.1120, 4.1120, 4.1120 Å; angles 60.00, 60.00, 60.00 degrees
Closest atoms and distances in Å follow each position.
Positions (direct):
C 0.1250 0.1250 0.1250  6 C 2.06
C 0.1250 0.1250 0.6250  6 C 2.06
C 0.1250 0.6250 0.1250  6 C 2.06
C 0.6250 0.1250 0.1250  6 C 2.06
Cu 0.5000 0.5000 0.5000  12 C 2.41, 4 Cu 2.52
Cu 0.7500 0.7500 0.7500  12 C 2.41, 4 Cu 2.52



Entry from Alexandria: a relaxed structure of CuC7 (GGA-PBEsol).

Results
ρ = 4.0 g/cm³
N(E_F) = 3.04 states/eV/cell
calculated formation energy = 3.820 eV/atom
symmetry = Fm-3m
spin magnetization = 0.00 μB per cell
crystal system = cubic

Cell lengths 4.4140, 4.4140, 4.4140 Å; angles 60.00, 60.00, 60.00 degrees
Closest atoms and distances in Å follow each position.
Positions (direct):
C 0.5000 0.0000 0.5000  10 C 2.21, 2 Cu 2.21
C 0.0000 0.0000 0.5000  10 C 2.21, 2 Cu 2.21
C 0.0000 0.5000 0.5000  10 C 2.21, 2 Cu 2.21
C 0.0000 0.5000 0.0000  2 Cu 2.21, 10 C 2.21
C 0.5000 0.5000 0.0000  10 C 2.21, 2 Cu 2.21
C 0.5000 0.0000 0.0000  10 C 2.21, 2 Cu 2.21
C 0.5000 0.5000 0.5000  12 C 2.21
Cu 0.0000 0.0000 0.0000  12 C 2.21



Entry from Alexandria: a relaxed structure of CuC2 (GGA-PBEsol).

Results
distance to the lowest polymorph of the same formula = 0.00 kJ per mole of atoms
ρ = 4.4 g/cm³
N(E_F) = 0.54 states/eV/cell
calculated formation energy = 0.293 eV/atom
symmetry = R-3m
spin magnetization = 0.00 μB per cell
crystal system = trigonal

Cell lengths 2.4466, 2.4466, 6.5483 Å; angles 79.23, 79.23, 60.00 degrees
Closest atoms and distances in Å follow each position.
Positions (direct):
C 0.1666 0.1666 0.5002  3 C 1.41
C 0.8334 0.8334 0.4998  3 C 1.41
Cu 0.0000 0.0000 0.0000  6 Cu 2.45



Entry from Alexandria: a relaxed structure of CuC2F (GGA-PBEsol).

Results
ΔE_f (raw) = 2.21 eV per atom
ρ = 5.2 g/cm³
N(E_F) = 2.37 states/eV/cell
symmetry = Fm-3m
spin magnetization = 0.00 μB per cell
crystal system = cubic

Cell lengths 3.6434, 3.6434, 3.6434 Å; angles 60.00, 60.00, 60.00 degrees
Closest atoms and distances in Å follow each position.
Positions (direct):
C 0.2500 0.2500 0.2500  4 F 2.23, 4 Cu 2.23
C 0.7500 0.7500 0.7500  4 Cu 2.23, 4 F 2.23
Cu 0.5000 0.5000 0.5000  8 C 2.23
F 0.0000 0.0000 0.0000  8 C 2.23



Entry from Alexandria: a relaxed structure of Fe2CuC2 (GGA-PBEsol).

Results
ρ = 8.0 g/cm³
N(E_F) = 3.93 states/eV/cell
calculated formation energy = 0.287 eV/atom
symmetry = I4/mmm
spin magnetization = 0.59 μB per cell
crystal system = tetragonal

Cell lengths 3.3646, 3.3646, 4.3729 Å; angles 112.63, 112.63, 90.00 degrees
Closest atoms and distances in Å follow each position.
Positions (direct):
C 0.3952 0.3952 0.7905  1 C 1.54
C 0.6048 0.6048 0.2095  1 C 1.54
Fe 0.2500 0.7500 0.5000  4 C 1.99
Fe 0.7500 0.2500 0.5000  4 C 1.99
Cu 0.0000 0.0000 0.0000  8 Fe 2.49, 8 C 2.50



Entry from Alexandria: a relaxed structure of ZrFe2CuC (GGA-PBEsol).

Results
ρ = 6.8 g/cm³
N(E_F) = 2.99 states/eV/cell
calculated formation energy = 1.060 eV/atom
symmetry = P4/mmm
spin magnetization = 3.82 μB per cell
crystal system = tetragonal

Cell lengths 3.5087, 4.4104, 4.4104 Å; angles 90.00, 90.00, 90.00 degrees
Closest atoms and distances in Å follow each position.
Positions (direct):
C 0.5000 0.0000 0.0000  2 Cu 1.75
Cu 0.0000 0.0000 0.0000  2 C 1.75
Zr 0.5000 0.5000 0.5000  8 Fe 2.82, 4 C 3.12
Fe 0.0000 0.0000 0.5000  2 Cu 2.21
Fe 0.0000 0.5000 0.0000  2 Cu 2.21



Entry from Alexandria: a relaxed structure of CuGeC3 (GGA-PBEsol).

Results
ρ = 5.0 g/cm³
N(E_F) = 3.01 states/eV/cell
calculated formation energy = 2.674 eV/atom
symmetry = Pm-3m
spin magnetization = 0.00 μB per cell
crystal system = cubic

Cell lengths 3.8403, 3.8403, 3.8403 Å; angles 90.00, 90.00, 90.00 degrees
Closest atoms and distances in Å follow each position.
Positions (direct):
Ge 0.5000 0.5000 0.5000  12 C 2.72
C 0.0000 0.5000 0.0000  2 Cu 1.92
C 0.0000 0.0000 0.5000  2 Cu 1.92
C 0.5000 0.0000 0.0000  2 Cu 1.92
Cu 0.0000 0.0000 0.0000  6 C 1.92



Entry from Alexandria: a relaxed structure of CuGe3C (GGA-PBEsol).

Results
ρ = 6.3 g/cm³
N(E_F) = 2.32 states/eV/cell
calculated formation energy = 0.997 eV/atom
symmetry = Pm-3m
spin magnetization = 0.00 μB per cell
crystal system = cubic

Cell lengths 4.2615, 4.2615, 4.2615 Å; angles 90.00, 90.00, 90.00 degrees
Closest atoms and distances in Å follow each position.
Positions (direct):
Ge 0.0000 0.5000 0.0000  2 C 2.13
Ge 0.0000 0.0000 0.5000  2 C 2.13
Ge 0.5000 0.0000 0.0000  2 C 2.13
C 0.0000 0.0000 0.0000  6 Ge 2.13
Cu 0.5000 0.5000 0.5000  12 Ge 3.01



Entry from Alexandria: a relaxed structure of CuNiGeC2 (GGA-PBEsol).

Results
ρ = 5.7 g/cm³
N(E_F) = 2.55 states/eV/cell
calculated formation energy = 2.148 eV/atom
symmetry = P4/mmm
spin magnetization = 0.00 μB per cell
crystal system = tetragonal

Cell lengths 3.8121, 3.8121, 4.4076 Å; angles 90.00, 90.00, 90.00 degrees
Closest atoms and distances in Å follow each position.
Positions (direct):
Ni 0.0000 0.0000 0.5000  2 Ge 2.20
Ge 0.0000 0.0000 0.0000  4 C 1.91
C 0.0000 0.5000 0.0000  2 Ge 1.91
C 0.5000 0.0000 0.0000  2 Ge 1.91
Cu 0.5000 0.5000 0.5000  4 Ni 2.70, 8 C 2.91



Entry from Alexandria: a relaxed structure of K2CuH8C4O12 (GGA-PBEsol).

Results
ρ = 2.2 g/cm³
symmetry = P2_1/c
spin magnetization = 2.00 μB per cell
final energy = -6.17 eV per atom
crystal system = monoclinic

Cell lengths 3.8208, 10.7552, 14.3087 Å; angles 90.00, 90.00, 92.70 degrees
Closest atoms and distances in Å follow each position.
Positions (direct):
K 0.1771 0.4902 0.3611  7 O 2.72-2.98, 1 H 2.99
K 0.8229 0.5098 0.6389  7 O 2.72-2.98, 1 H 2.99
K 0.6771 0.9902 0.1389  7 O 2.72-2.98, 1 H 2.99
K 0.3229 0.0098 0.8611  7 O 2.72-2.98, 1 H 2.99
Cu 0.5000 0.0000 0.5000  4 O 1.93-1.95
Cu 0.0000 0.5000 0.0000  4 O 1.93-1.95
H 0.2156 0.2490 0.1291  1 O 0.99
H 0.0730 0.9809 0.3187  1 O 0.99
H 0.2810 0.2913 0.7369  1 O 1.00
H 0.2190 0.2087 0.2369  1 O 1.00
H 0.7810 0.7913 0.7631  1 O 1.00
H 0.5730 0.4809 0.1813  1 O 0.99
H 0.9270 0.0191 0.6813  1 O 0.99
H 0.8990 0.1562 0.7135  1 O 1.00
H 0.2844 0.2510 0.6291  1 O 0.99
H 0.7190 0.7087 0.2631  1 O 1.00
H 0.6010 0.3438 0.2135  1 O 1.00
H 0.7844 0.7510 0.8709  1 O 0.99
H 0.4270 0.5191 0.8187  1 O 0.99
H 0.7156 0.7490 0.3709  1 O 0.99
H 0.3990 0.6562 0.7865  1 O 1.00
H 0.1010 0.8438 0.2865  1 O 1.00
C 0.1297 0.8219 0.5969  2 O 1.24-1.29
C 0.8368 0.2523 0.9776  2 O 1.24-1.30
C 0.6632 0.2477 0.4776  2 O 1.24-1.30
C 0.3703 0.6781 0.0969  2 O 1.24-1.29
C 0.8703 0.1781 0.4031  2 O 1.24-1.29
C 0.1632 0.7477 0.0224  2 O 1.24-1.30
C 0.3368 0.7523 0.5224  2 O 1.24-1.30
C 0.6297 0.3219 0.9031  2 O 1.24-1.29
O 0.4756 0.1751 0.5321  1 C 1.30
O 0.5582 0.7370 0.1538  1 C 1.24
O 0.4418 0.2630 0.8462  1 C 1.24
O 0.6658 0.4419 0.9072  1 C 1.29
O 0.8148 0.1373 0.9822  1 C 1.24
O 0.8543 0.7067 0.3226  2 H 0.99-1.00
O 0.3249 0.5693 0.7685  2 H 0.99-1.00
O 0.6852 0.3627 0.4822  1 C 1.24
O 0.6457 0.7933 0.8226  2 H 0.99-1.00
O 0.5244 0.8249 0.4679  1 C 1.30
O 0.1457 0.2933 0.6774  2 H 0.99-1.00
O 0.1852 0.8627 0.0178  1 C 1.24
O 0.6751 0.4307 0.2315  2 H 0.99-1.00
O 0.3543 0.2067 0.1774  2 H 0.99-1.00
O 0.1751 0.9307 0.2685  2 H 0.99-1.00
O 0.3342 0.5581 0.0928  1 C 1.29
O 0.0582 0.2370 0.3462  1 C 1.24
O 0.8249 0.0693 0.7315  2 H 0.99-1.00
O 0.0244 0.3249 0.0321  1 C 1.30
O 0.1658 0.9419 0.5928  1 C 1.29
O 0.9418 0.7630 0.6538  1 C 1.24
O 0.9756 0.6751 0.9679  1 C 1.30
O 0.3148 0.6373 0.5178  1 C 1.24
O 0.8342 0.0581 0.4072  1 C 1.29



Entry from Alexandria: a relaxed structure of Li2CuH14C4N6O8 (GGA-PBEsol).

Results
ρ = 2.1 g/cm³
symmetry = P2_1/c
spin magnetization = 2.00 μB per cell
final energy = -6.14 eV per atom
crystal system = monoclinic

Cell lengths 3.4467, 12.3868, 13.1120 Å; angles 90.00, 89.01, 90.00 degrees
Closest atoms and distances in Å follow each position.
Positions (direct):
Li 0.2763 0.0816 0.3645  4 O 1.95-2.13
Li 0.2763 0.4184 0.8645  4 O 1.95-2.13
Li 0.7237 0.5816 0.1355  4 O 1.95-2.13
Li 0.7237 0.9184 0.6355  4 O 1.95-2.13
Cu 0.0000 0.0000 0.0000  4 N 1.91-1.97
Cu 0.0000 0.5000 0.5000  4 N 1.91-1.97
H 0.8106 0.5737 0.9295  1 O 1.02
H 0.6873 0.5618 0.8141  1 O 1.00
H 0.2231 0.8054 0.3567  1 N 1.03
H 0.7562 0.1336 0.8335  1 O 1.00
H 0.5299 0.2251 0.7681  1 O 1.06
H 0.4701 0.7251 0.7319  1 O 1.06
H 0.3668 0.4881 0.3301  1 N 1.03
H 0.2438 0.6336 0.6665  1 O 1.00
H 0.2415 0.3344 0.3969  1 N 1.03
H 0.7585 0.8344 0.1031  1 N 1.03
H 0.3127 0.0618 0.6859  1 O 1.00
H 0.6332 0.9881 0.1699  1 N 1.03
H 0.1894 0.0737 0.5705  1 O 1.02
H 0.7769 0.3054 0.1433  1 N 1.03
H 0.2231 0.6946 0.8567  1 N 1.03
H 0.8106 0.9263 0.4295  1 O 1.02
H 0.3668 0.0119 0.8301  1 N 1.03
H 0.6873 0.9382 0.3141  1 O 1.00
H 0.2415 0.1656 0.8969  1 N 1.03
H 0.7585 0.6656 0.6031  1 N 1.03
H 0.7562 0.3664 0.3335  1 O 1.00
H 0.6332 0.5119 0.6699  1 N 1.03
H 0.5299 0.2749 0.2681  1 O 1.06
H 0.4701 0.7749 0.2319  1 O 1.06
H 0.2438 0.8664 0.1665  1 O 1.00
H 0.7769 0.1946 0.6433  1 N 1.03
H 0.3127 0.4382 0.1859  1 O 1.00
H 0.1894 0.4263 0.0705  1 O 1.02
C 0.3146 0.6434 0.3409  1 O 1.30, 2 N 1.30-1.39
C 0.0013 0.2400 0.0114  1 O 1.28, 2 N 1.33-1.38
C 0.9987 0.7400 0.4886  1 O 1.28, 2 N 1.33-1.38
C 0.6854 0.1434 0.1591  1 O 1.30, 2 N 1.30-1.39
C 0.3146 0.8566 0.8409  1 O 1.30, 2 N 1.30-1.39
C 0.0013 0.2600 0.5114  1 O 1.28, 2 N 1.33-1.38
C 0.9987 0.7600 0.9886  1 O 1.28, 2 N 1.33-1.38
C 0.6854 0.3566 0.6591  1 O 1.30, 2 N 1.30-1.39
N 0.9535 0.8486 0.0441  1 H 1.03
N 0.1896 0.7337 0.3951  1 H 1.03
N 0.2544 0.5467 0.3775  1 H 1.03
N 0.7456 0.0467 0.1225  1 H 1.03
N 0.8104 0.2337 0.1049  1 H 1.03
N 0.0465 0.3486 0.4559  1 H 1.03
N 0.9535 0.6514 0.5441  1 H 1.03
N 0.1896 0.7663 0.8951  1 H 1.03
N 0.2544 0.9533 0.8775  1 H 1.03
N 0.7456 0.4533 0.6225  1 H 1.03
N 0.8104 0.2663 0.6049  1 H 1.03
N 0.0465 0.1514 0.9559  1 H 1.03
O 0.1230 0.3340 0.9845  1 C 1.28
O 0.7717 0.5180 0.8734  2 H 1.00-1.02
O 0.5098 0.3375 0.7456  1 C 1.30, 1 H 1.43
O 0.4304 0.6408 0.7231  2 H 1.00-1.06
O 0.5696 0.1408 0.7769  2 H 1.00-1.06
O 0.4902 0.8375 0.7544  1 C 1.30, 1 H 1.43
O 0.2283 0.0180 0.6266  2 H 1.00-1.02
O 0.8770 0.8340 0.5155  1 C 1.28
O 0.1230 0.1660 0.4845  1 C 1.28
O 0.7717 0.9820 0.3734  2 H 1.00-1.02
O 0.5098 0.1625 0.2456  1 C 1.30, 1 H 1.43
O 0.4304 0.8592 0.2231  2 H 1.00-1.06
O 0.5696 0.3592 0.2769  2 H 1.00-1.06
O 0.4902 0.6625 0.2544  1 C 1.30, 1 H 1.43
O 0.2283 0.4820 0.1266  2 H 1.00-1.02
O 0.8770 0.6660 0.0155  1 C 1.28



Entry from Alexandria: a relaxed structure of LiCuHCO4 (GGA-PBEsol).

Results
ρ = 2.7 g/cm³
symmetry = P6_3/m
spin magnetization = 6.03 μB per cell
final energy = -6.25 eV per atom
crystal system = hexagonal

Cell lengths 5.8829, 10.3800, 10.3802 Å; angles 120.00, 90.00, 90.00 degrees
Closest atoms and distances in Å follow each position.
Positions (direct):
Li 0.7500 0.2136 0.8561  4 O 1.99-2.13
Li 0.7500 0.6425 0.7864  4 O 1.99-2.13
Li 0.2500 0.8561 0.6425  4 O 1.99-2.13
Li 0.7500 0.1439 0.3575  4 O 1.99-2.13
Li 0.2500 0.3575 0.2136  4 O 1.99-2.13
Li 0.2500 0.7864 0.1439  4 O 1.99-2.13
Cu 0.0000 0.5000 0.0000  4 O 1.93-1.94
Cu 0.5000 0.5000 0.0000  4 O 1.93-1.94
Cu 0.0000 0.5000 0.5000  4 O 1.93-1.94
Cu 0.5000 0.5000 0.5000  4 O 1.93-1.94
Cu 0.0000 0.0000 0.5000  4 O 1.93-1.94
Cu 0.5000 0.0000 0.5000  4 O 1.93-1.94
H 0.7500 0.3991 0.7932  1 O 0.98
H 0.7500 0.2068 0.6060  1 O 0.98
H 0.7500 0.3940 0.6009  1 O 0.98
H 0.2500 0.6060 0.3991  1 O 0.98
H 0.2500 0.7932 0.3940  1 O 0.98
H 0.2500 0.6009 0.2068  1 O 0.98
C 0.2500 0.2208 0.8166  3 O 1.27-1.30
C 0.2500 0.5958 0.7792  3 O 1.27-1.30
C 0.2500 0.1834 0.4042  3 O 1.27-1.30
C 0.7500 0.8166 0.5958  3 O 1.27-1.30
C 0.7500 0.4042 0.2208  3 O 1.27-1.30
C 0.7500 0.7792 0.1834  3 O 1.27-1.30
O 0.0576 0.2927 0.8547  1 C 1.30
O 0.4424 0.2927 0.8547  1 C 1.30
O 0.2500 0.0796 0.7406  1 C 1.27
O 0.7500 0.4998 0.8794  1 H 0.98
O 0.2500 0.6610 0.9204  1 C 1.27
O 0.7500 0.1206 0.6204  1 H 0.98
O 0.0576 0.5620 0.7073  1 C 1.30
O 0.4424 0.5620 0.7073  1 C 1.30
O 0.4424 0.1453 0.4380  1 C 1.30
O 0.0576 0.1453 0.4380  1 C 1.30
O 0.7500 0.3796 0.5002  1 H 0.98
O 0.2500 0.2594 0.3390  1 C 1.27
O 0.7500 0.7406 0.6610  1 C 1.27
O 0.2500 0.6204 0.4998  1 H 0.98
O 0.9424 0.8547 0.5620  1 C 1.30
O 0.5576 0.8547 0.5620  1 C 1.30
O 0.5576 0.4380 0.2927  1 C 1.30
O 0.9424 0.4380 0.2927  1 C 1.30
O 0.2500 0.8794 0.3796  1 H 0.98
O 0.7500 0.3390 0.0796  1 C 1.27
O 0.2500 0.5002 0.1206  1 H 0.98
O 0.7500 0.9204 0.2594  1 C 1.27
O 0.5576 0.7073 0.1453  1 C 1.30
O 0.9424 0.7073 0.1453  1 C 1.30